5
Lattice="4.172 0.000 0.000 0.000 4.254 0.000 0.000 0.000 4.172" Properties=species:S:1:pos:R:3 comment="GaHgRh2N PBE optimized geometry" spacegroup="No. 123" dos_at_fermi_per_ev_cell=4.06 total_magnetization_mub_per_fu=0.0 e_form_raw_mev_per_atom=273 pbc="T T T"
Rh 0.000 0.000 2.086
Rh 2.086 0.000 0.000
Hg 2.086 2.127 2.086
Ga 0.000 2.127 0.000
N 0.000 0.000 0.000

---

5
Lattice="5.494 0.000 0.000 0.000 3.423 0.000 0.000 0.000 5.494" Properties=species:S:1:pos:R:3 comment="GaHg2RuN PBE optimized geometry" spacegroup="No. 123" dos_at_fermi_per_ev_cell=2.44 total_magnetization_mub_per_fu=2.4 e_form_raw_mev_per_atom=1097 pbc="T T T"
Ru 2.747 1.712 2.747
Hg 0.000 0.000 2.747
Hg 2.747 0.000 0.000
Ga 0.000 0.000 0.000
N 0.000 1.712 0.000

---

5
Lattice="5.197 0.000 0.000 0.000 5.197 0.000 0.000 0.000 4.224" Properties=species:S:1:pos:R:3 comment="GaHgS2N PBE optimized geometry" spacegroup="No. 123" dos_at_fermi_per_ev_cell=4.83 total_magnetization_mub_per_fu=2.9 e_form_raw_mev_per_atom=1216 e_above_lowest_polymorph_ev_per_fu=2.50 pbc="T T T"
S 0.000 2.599 0.000
S 2.599 0.000 0.000
Hg 0.000 0.000 0.000
Ga 2.599 2.599 2.112
N 0.000 0.000 2.112

---

5
Lattice="4.959 0.000 0.000 0.000 4.959 0.000 0.000 0.000 3.785" Properties=species:S:1:pos:R:3 comment="GaHgS2N PBE optimized geometry" spacegroup="No. 123" dos_at_fermi_per_ev_cell=2.53 total_magnetization_mub_per_fu=2.1 e_form_raw_mev_per_atom=715 e_above_lowest_polymorph_ev_per_fu=0.00 pbc="T T T"
S 0.000 2.479 0.000
S 2.479 0.000 0.000
Hg 2.479 2.479 1.892
Ga 0.000 0.000 0.000
N 0.000 0.000 1.892

---

14
Lattice="6.254 0.000 0.000 0.000 6.253 0.000 -3.127 0.000 6.969" Properties=species:S:1:pos:R:3 comment="Sc4GaHgN PBE optimized geometry" spacegroup="No. 63" dos_at_fermi_per_ev_cell=4.99 total_magnetization_mub_per_fu=0.0 e_form_raw_mev_per_atom=-823 pbc="T T T"
Sc 3.127 1.563 5.795
Sc 0.000 4.690 5.763
Sc 0.000 4.690 1.174
Sc 3.127 1.563 1.206
Sc 1.564 3.127 3.484
Sc -1.564 0.000 3.484
Sc 1.564 0.000 3.484
Sc -1.564 3.127 3.484
Ga 0.000 1.563 1.673
Ga 3.127 4.690 5.296
Hg 3.127 4.690 1.578
Hg 0.000 1.563 5.391
N 0.000 4.690 3.462
N 3.127 1.563 3.507

---

5
Lattice="4.237 0.000 0.000 0.000 4.237 0.000 0.000 0.000 6.149" Properties=species:S:1:pos:R:3 comment="GaHgSeN2 PBE optimized geometry" spacegroup="No. 123" dos_at_fermi_per_ev_cell=2.94 total_magnetization_mub_per_fu=3.5 e_form_raw_mev_per_atom=1719 e_above_lowest_polymorph_ev_per_fu=2.92 pbc="T T T"
Ga 2.119 2.119 3.075
Hg 0.000 0.000 0.000
Se 0.000 0.000 3.075
N 0.000 2.119 0.000
N 2.119 0.000 0.000

---

5
Lattice="-3.877 -0.330 -0.835 -0.807 -0.339 3.882 -0.561 5.639 0.377" Properties=species:S:1:pos:R:3 comment="GaHgSeN2 PBE optimized geometry" spacegroup="No. 123" dos_at_fermi_per_ev_cell=2.69 total_magnetization_mub_per_fu=3.3 e_form_raw_mev_per_atom=1135 e_above_lowest_polymorph_ev_per_fu=0.00 pbc="T T T"
Ga 0.000 0.000 0.000
Hg -2.622 2.485 1.712
Se -0.280 2.820 0.188
N -0.403 -0.170 1.941
N -1.939 -0.165 -0.417

---

14
Lattice="-1.877 5.885 -3.273 -2.808 -3.775 -5.177 -5.547 -3.022 5.213" Properties=species:S:1:pos:R:3 comment="Sm4GaHgN PBE optimized geometry" spacegroup="No. 63" dos_at_fermi_per_ev_cell=2.81 total_magnetization_mub_per_fu=0.0 e_form_raw_mev_per_atom=-700 pbc="T T T"
Sm -7.130 1.931 0.097
Sm -7.549 -2.898 -0.881
Sm -3.102 -2.843 -3.334
Sm -2.683 1.986 -2.356
Sm -5.116 -0.456 -1.619
Sm -2.773 -1.511 2.606
Sm -3.712 1.431 0.970
Sm -4.177 -3.399 0.018
Ga -2.344 -0.964 -0.389
Ga -7.888 0.052 -2.849
Hg -4.594 0.092 -4.665
Hg -5.638 -1.005 1.427
N -5.318 -2.871 -2.111
N -4.914 1.958 -1.126

---

10
Lattice="4.017 0.000 0.000 0.000 7.760 -0.112 0.000 -3.408 8.233" Properties=species:S:1:pos:R:3 comment="Sr2GaHgN PBE optimized geometry" spacegroup="No. 11" dos_at_fermi_per_ev_cell=2.53 total_magnetization_mub_per_fu=0.0 e_form_raw_mev_per_atom=-546 e_above_lowest_polymorph_ev_per_fu=0.00 pbc="T T T"
Sr 3.013 4.306 4.953
Sr 3.013 6.221 0.098
Sr 1.004 0.046 3.168
Sr 1.004 -1.869 8.023
Ga 1.004 1.901 5.868
Ga 3.013 2.451 2.253
Hg 1.004 4.406 2.153
Hg 3.013 -0.054 5.968
N 1.004 3.642 6.667
N 3.013 0.710 1.454

---

5
Lattice="-3.685 -3.854 -0.845 3.564 -2.756 -2.974 1.298 -1.985 3.395" Properties=species:S:1:pos:R:3 comment="Sr2GaHgN PBE optimized geometry" spacegroup="No. 123" dos_at_fermi_per_ev_cell=3.02 total_magnetization_mub_per_fu=0.0 e_form_raw_mev_per_atom=-392 e_above_lowest_polymorph_ev_per_fu=0.77 pbc="T T T"
Sr 1.782 -1.378 -1.487
Sr -1.842 -1.927 -0.422
Hg 0.589 -4.297 -0.212
Ga 0.649 -0.993 1.698
N 0.000 0.000 0.000

---

5
Lattice="-2.492 5.197 1.509 -5.314 -2.036 -1.765 -0.694 -1.412 3.719" Properties=species:S:1:pos:R:3 comment="GaHgTe2N PBE optimized geometry" spacegroup="No. 123" dos_at_fermi_per_ev_cell=4.42 total_magnetization_mub_per_fu=1.8 e_form_raw_mev_per_atom=1053 e_above_lowest_polymorph_ev_per_fu=2.37 pbc="T T T"
Te -2.657 -1.018 -0.883
Te -1.246 2.599 0.754
Hg 0.000 0.000 0.000
Ga -4.250 0.875 1.731
N -0.347 -0.706 1.859

---

5
Lattice="-3.589 4.049 -2.593 -3.525 -0.015 4.856 1.891 2.560 1.381" Properties=species:S:1:pos:R:3 comment="GaHgTe2N PBE optimized geometry" spacegroup="No. 123" dos_at_fermi_per_ev_cell=4.46 total_magnetization_mub_per_fu=0.0 e_form_raw_mev_per_atom=580 e_above_lowest_polymorph_ev_per_fu=0.00 pbc="T T T"
Te -1.762 -0.008 2.428
Te -1.794 2.025 -1.296
Hg -2.611 3.297 1.822
Ga 0.000 0.000 0.000
N 0.945 1.280 0.690

---

5
Lattice="-0.500 5.655 0.129 -4.793 -0.493 3.004 3.003 0.156 4.816" Properties=species:S:1:pos:R:3 comment="GaHgTe2N PBE optimized geometry" spacegroup="No. 123" dos_at_fermi_per_ev_cell=2.77 total_magnetization_mub_per_fu=2.9 e_form_raw_mev_per_atom=1383 e_above_lowest_polymorph_ev_per_fu=4.02 pbc="T T T"
Te 1.502 0.078 2.408
Te -0.250 2.827 0.064
Hg 0.000 0.000 0.000
Ga -2.396 -0.246 1.502
N -1.145 2.659 3.975

---

14
Lattice="6.789 0.000 0.000 0.000 6.789 0.000 -3.395 0.000 7.309" Properties=species:S:1:pos:R:3 comment="Y4GaHgN PBE optimized geometry" spacegroup="No. 63" dos_at_fermi_per_ev_cell=1.07 total_magnetization_mub_per_fu=0.0 e_form_raw_mev_per_atom=-789 pbc="T T T"
Y 3.395 1.697 6.169
Y 0.000 5.092 6.132
Y 0.000 5.092 1.140
Y 3.395 1.697 1.177
Y 1.697 3.394 3.655
Y -1.697 0.000 3.655
Y 1.697 0.000 3.655
Y -1.697 3.394 3.655
Ga 0.000 1.697 1.824
Ga 3.395 5.092 5.485
Hg 3.395 5.092 1.728
Hg 0.000 1.697 5.581
N 0.000 5.092 3.625
N 3.395 1.697 3.684

---

10
Lattice="8.914 0.000 0.000 0.000 8.914 0.000 0.000 0.000 3.267" Properties=species:S:1:pos:R:3 comment="Na2GaHg2 PBE optimized geometry" spacegroup="No. 127" dos_at_fermi_per_ev_cell=3.25 total_magnetization_mub_per_fu=0.0 formation_enthalpy_0k_ev_per_atom=-0.04 e_above_lowest_polymorph_ev_per_fu=0.63 pbc="T T T"
Na 2.987 7.444 0.000
Na 7.444 5.927 0.000
Na 5.927 1.470 0.000
Na 1.470 2.987 0.000
Hg 1.183 5.640 1.633
Hg 5.640 7.731 1.633
Hg 7.731 3.274 1.633
Hg 3.274 1.183 1.633
Ga 0.000 0.000 0.000
Ga 4.457 4.457 0.000

---

5
Lattice="-1.619 1.460 -4.862 -1.055 -5.088 -1.176 -4.965 0.605 1.835" Properties=species:S:1:pos:R:3 comment="NaGa3Hg PBE optimized geometry" spacegroup="No. 221" dos_at_fermi_per_ev_cell=3.50 total_magnetization_mub_per_fu=0.0 formation_enthalpy_0k_ev_per_atom=0.35 e_above_lowest_polymorph_ev_per_fu=1.37 pbc="T T T"
Na -3.820 -1.511 -2.101
Hg 0.000 0.000 0.000
Ga -0.528 -2.544 -0.588
Ga -2.483 0.303 0.918
Ga -0.810 0.730 -2.431

---

6
Lattice="0.256 2.178 -4.171 2.559 -1.912 -3.480 -7.292 -4.069 0.107" Properties=species:S:1:pos:R:3 comment="NaGaHg PBE optimized geometry" spacegroup="No. 2" dos_at_fermi_per_ev_cell=2.19 total_magnetization_mub_per_fu=0.0 formation_enthalpy_0k_ev_per_atom=-0.11 e_above_lowest_polymorph_ev_per_fu=0.16 pbc="T T T"
Na -1.775 -0.343 -4.256
Na -2.702 -3.459 -3.288
Ga -6.362 -2.728 -3.128
Ga 1.884 -1.074 -4.415
Hg -4.412 -2.009 -5.295
Hg -0.065 -1.793 -2.248

---

5
Lattice="-1.687 -0.531 3.808 -0.593 -4.073 -0.831 6.116 -3.966 4.471" Properties=species:S:1:pos:R:3 comment="Na2GaHg2 PBE optimized geometry" spacegroup="No. 139" dos_at_fermi_per_ev_cell=2.29 total_magnetization_mub_per_fu=0.0 formation_enthalpy_0k_ev_per_atom=0.01 e_above_lowest_polymorph_ev_per_fu=0.90 pbc="T T T"
Na 0.278 -2.627 2.071
Na 3.558 -5.942 5.376
Hg 1.645 -3.399 4.883
Hg 2.192 -5.170 2.564
Ga 0.000 0.000 0.000

---

16
Lattice="-2.622 3.459 3.064 0.523 -5.056 1.548 16.554 4.496 9.091" Properties=species:S:1:pos:R:3 comment="Na5GaHg2 PBE optimized geometry" spacegroup="No. 194" dos_at_fermi_per_ev_cell=10.41 total_magnetization_mub_per_fu=0.0 formation_enthalpy_0k_ev_per_atom=-0.12 pbc="T T T"
Na 5.636 1.531 3.095
Na 2.641 0.717 1.450
Na 2.564 1.745 4.832
Na 13.913 3.779 7.641
Na -0.738 0.848 3.018
Na 11.890 1.155 8.872
Na 15.192 2.052 10.685
Na 8.587 0.258 7.058
Na 5.867 2.642 6.645
Na 10.917 2.965 5.996
Ga 3.613 -1.094 4.326
Ga 10.841 3.993 9.377
Hg 8.545 3.369 8.116
Hg 1.317 -1.717 3.065
Hg 5.909 -0.470 5.587
Hg 13.137 4.617 10.638

---

6
Lattice="6.100 0.000 0.000 3.050 5.283 0.000 3.050 1.761 4.981" Properties=species:S:1:pos:R:3 comment="NaGaHg4 PBE optimized geometry" spacegroup="No. 216" dos_at_fermi_per_ev_cell=4.44 total_magnetization_mub_per_fu=0.0 formation_enthalpy_0k_ev_per_atom=0.03 e_above_lowest_polymorph_ev_per_fu=0.60 pbc="T T T"
Na 3.050 1.761 1.245
Hg 6.100 3.522 0.623
Hg 6.100 1.761 3.113
Hg 7.625 4.402 3.113
Hg 4.575 4.402 3.113
Ga 0.000 0.000 0.000

---

6
Lattice="3.300 0.000 0.955 2.030 5.962 -0.835 -0.532 -2.548 8.022" Properties=species:S:1:pos:R:3 comment="NaGaHg4 PBE optimized geometry" spacegroup="No. 12" dos_at_fermi_per_ev_cell=1.80 total_magnetization_mub_per_fu=0.0 formation_enthalpy_0k_ev_per_atom=-0.07 e_above_lowest_polymorph_ev_per_fu=0.00 pbc="T T T"
Na 0.000 0.000 0.000
Ga 2.399 1.707 4.071
Hg 3.349 0.809 6.970
Hg 0.922 -0.692 2.995
Hg 1.449 2.605 1.172
Hg 3.876 4.106 5.147

---

10
Lattice="4.549 0.000 0.000 0.000 7.475 -3.516 0.000 0.467 8.247" Properties=species:S:1:pos:R:3 comment="Na3GaHg PBE optimized geometry" spacegroup="No. 63" dos_at_fermi_per_ev_cell=5.45 total_magnetization_mub_per_fu=0.0 formation_enthalpy_0k_ev_per_atom=-0.12 e_above_lowest_polymorph_ev_per_fu=0.00 pbc="T T T"
Na 1.105 6.786 -2.360
Na 3.379 1.155 7.092
Na 3.379 4.622 4.955
Na 1.105 6.558 1.706
Na 1.105 3.320 -0.224
Na 3.379 1.383 3.026
Ga 3.378 4.284 1.840
Ga 1.103 3.657 2.892
Hg 3.380 5.689 -0.518
Hg 1.106 2.253 5.249

---

10
Lattice="-1.318 6.672 1.948 -3.039 -2.186 6.003 7.251 -2.837 -0.861" Properties=species:S:1:pos:R:3 comment="Na3GaHg PBE optimized geometry" spacegroup="No. 12" dos_at_fermi_per_ev_cell=3.84 total_magnetization_mub_per_fu=0.0 formation_enthalpy_0k_ev_per_atom=-0.06 e_above_lowest_polymorph_ev_per_fu=0.33 pbc="T T T"
Na 0.693 4.711 1.439
Na 0.171 -0.066 2.849
Na 2.723 1.714 4.241
Na -1.072 3.412 3.922
Na 2.200 -3.063 5.652
Na 3.966 -1.764 3.168
Ga 5.019 2.836 1.150
Ga -2.125 -1.187 5.940
Hg -0.342 1.028 5.667
Hg 3.236 0.620 1.423

---

20
Lattice="-6.728 5.764 -3.576 -7.750 1.615 4.421 -1.712 8.149 3.591" Properties=species:S:1:pos:R:3 comment="Na3Ga2Hg5 PBE optimized geometry" spacegroup="No. 72" dos_at_fermi_per_ev_cell=7.82 total_magnetization_mub_per_fu=0.0 formation_enthalpy_0k_ev_per_atom=-0.09 pbc="T T T"
Na -1.682 1.441 -0.894
Na -5.046 4.323 -2.682
Na -7.152 9.645 3.476
Na -9.038 5.882 0.960
Na -13.079 9.754 2.041
Na -3.111 5.773 2.396
Ga -8.747 9.548 6.320
Ga -7.443 5.979 -1.884
Ga -12.764 11.723 4.622
Ga -3.426 3.804 -0.185
Hg -6.413 6.323 3.112
Hg -9.777 9.205 1.324
Hg -10.470 10.218 4.260
Hg -2.356 2.427 1.964
Hg -5.720 5.309 0.176
Hg -13.834 13.100 2.472
Hg -5.271 3.415 2.659
Hg -10.919 12.112 1.777
Hg -6.862 8.216 0.627
Hg -9.329 7.311 3.809